[1]
Cs2Tl2CoCl6 | PBE | relaxed

It has space group C2/m (No. 12), with a = 8.527 Å, b = 13.659 Å, c = 7.359 Å, α = 90.00°, β = 107.36° and γ = 90.00°. The distinct sites, in fractional coordinates, are Cs at (0.000, 0.157, 0.000), Tl at (0.000, 0.341, 0.500), Co at (0.000, 0.500, 0.000), Cl at (0.174, 0.500, 0.767) and Cl at (0.180, 0.373, 0.193).

For the formation energy from raw total energies, the calculation gives -1.1842 eV/atom.



[2]
BaYAl2 | PBE | relaxed

It has space group F-43m (No. 216), with a = 7.605 Å, b = 7.605 Å, c = 7.605 Å, α = 90.00°, β = 90.00° and γ = 90.00°. The distinct sites, in fractional coordinates, are Ba at (0.000, 0.000, 0.000), Y at (0.250, 0.250, 0.250), Al at (0.000, 0.000, 0.500) and Al at (0.250, 0.250, 0.750).

The value obtained for the formation energy is 0.28 eV per atom.



[3]
Nd4CoTeI2 | PBE | relaxed

It has space group P2/m (No. 10), with a = 7.998 Å, b = 4.173 Å, c = 8.208 Å, α = 90.00°, β = 106.36° and γ = 90.00°. The distinct sites, in fractional coordinates, are Nd at (0.191, 0.000, 0.184), Nd at (0.223, 0.500, 0.802), Co at (0.000, 0.500, 0.000), Te at (0.500, 0.000, 0.000), I at (0.000, 0.000, 0.500) and I at (0.500, 0.500, 0.500).

For the formation energy from raw total energies, the calculation gives -0.8687 eV/atom.



[4]
Zn2Cd3Au8 | PBE | relaxed

It has space group Cmmm (No. 65), with a = 7.400 Å, b = 14.818 Å, c = 4.605 Å, α = 90.00°, β = 90.00° and γ = 90.00°. The distinct sites, in fractional coordinates, are Zn at (0.000, 0.227, 0.000), Cd at (0.000, 0.000, 0.000), Cd at (0.203, 0.500, 0.500), Au at (0.000, 0.134, 0.500), Au at (0.000, 0.326, 0.500) and Au at (0.205, 0.378, 0.000).

The value obtained for the formation energy is -0.11 eV per atom.



[5]
BeCrGa | PBE | relaxed

It has space group Immm (No. 71), with a = 2.506 Å, b = 4.661 Å, c = 12.768 Å, α = 90.00°, β = 90.00° and γ = 90.00°. The distinct sites, in fractional coordinates, are Be at (0.000, 0.000, 0.143), Cr at (0.000, 0.000, 0.318) and Ga at (0.000, 0.248, 0.500).

The value obtained for the formation energy is 0.47 eV per atom.



[6]
La4PI5 | PBE | relaxed

It has space group C2/m (No. 12), with a = 19.800 Å, b = 4.329 Å, c = 9.176 Å, α = 90.00°, β = 102.94° and γ = 90.00°. The distinct sites, in fractional coordinates, are La at (0.001, 0.000, 0.290), La at (0.146, 0.500, 0.574), P at (0.000, 0.500, 0.500), I at (0.000, 0.500, 0.000), I at (0.166, 0.000, 0.843) and I at (0.172, 0.000, 0.322).

For the formation energy from raw total energies, the calculation gives -1.4850 eV/atom.



[7]
SrMo2P | PBE | relaxed

It has space group I4/mmm (No. 139), with a = 3.937 Å, b = 3.937 Å, c = 10.079 Å, α = 90.00°, β = 90.00° and γ = 90.00°. The distinct sites, in fractional coordinates, are Sr at (0.000, 0.000, 0.000), Mo at (0.000, 0.500, 0.250) and P at (0.000, 0.000, 0.500).

The value obtained for the formation energy is 0.79 eV per atom.



[8]
Pm2TeH4 | PBE | relaxed

It has space group R-3m (No. 166, hexagonal axes), with a = 3.9613 Å, b = 3.9613 Å, c = 23.1699 Å, α = 90.00°, β = 90.00° and γ = 120.00°. The distinct sites, in fractional coordinates, are Pm at (0.0000, 0.0000, 0.2375), Te at (0.0000, 0.0000, 0.0000), H at (0.0000, 0.0000, 0.1373) and H at (0.0000, 0.0000, 0.4351).

The value obtained for the total energy is -4.5631 eV per atom.



[9]
Sr2Li3As4Pt | PBE | relaxed

It has space group P-4m2 (No. 115), with a = 4.483 Å, b = 4.483 Å, c = 10.080 Å, α = 90.00°, β = 90.00° and γ = 90.00°. The distinct sites, in fractional coordinates, are Sr at (0.000, 0.500, 0.249), Li at (0.000, 0.500, 0.874), Li at (0.500, 0.500, 0.500), As at (0.000, 0.000, 0.000), As at (0.000, 0.500, 0.620), As at (0.500, 0.500, 0.000) and Pt at (0.000, 0.000, 0.500).

The value obtained for the formation energy is -0.79 eV per atom.



[10]
CoRh4 | PBE | relaxed

It has space group R-3m (No. 166, hexagonal axes), with a = 4.2932 Å, b = 4.2932 Å, c = 13.1688 Å, α = 90.00°, β = 90.00° and γ = 120.00°. The distinct sites, in fractional coordinates, are Co at (0.0000, 0.0000, 0.0000), Rh at (0.0000, 0.0000, 0.1897) and Rh at (0.0000, 0.0000, 0.3915).

The value obtained for the formation energy is 0.29 eV per atom.



[11]
Tb3NdSc2Te6 | PBE | relaxed

It has space group C2/m (No. 12), with a = 18.852 Å, b = 4.312 Å, c = 8.694 Å, α = 90.00°, β = 102.74° and γ = 90.00°. The distinct sites, in fractional coordinates, are Tb at (0.000, 0.000, 0.000), Tb at (0.158, 0.500, 0.332), Nd at (0.000, 0.000, 0.500), Sc at (0.164, 0.500, 0.830), Te at (0.007, 0.500, 0.761), Te at (0.172, 0.000, 0.076) and Te at (0.173, 0.000, 0.597).

For the formation energy from raw total energies, the calculation gives -1.2489 eV/atom.



[12]
SrIO2 | PBE | relaxed

It has space group R-3m (No. 166, hexagonal axes), with a = 3.7758 Å, b = 3.7758 Å, c = 19.8920 Å, α = 90.00°, β = 90.00° and γ = 120.00°. The distinct sites, in fractional coordinates, are Sr at (0.0000, 0.0000, 0.0000), I at (0.0000, 0.0000, 0.5000) and O at (0.0000, 0.0000, 0.3958).

For the formation energy from raw total energies, the calculation gives -1.5128 eV/atom.